# 1
# Sb2TeN, optimized geometry, DFT PBE
data_Sb2TeN
_chemical_formula_sum 'Sb8 Te4 N4'
_symmetry_space_group_name_H-M 'I -4 2 d'
_symmetry_Int_Tables_number 122
_symmetry_space_group_name_Hall 'I -4 2bw'
_cell_length_a 6.201
_cell_length_b 6.201
_cell_length_c 11.701
_cell_angle_alpha 90.00
_cell_angle_beta 90.00
_cell_angle_gamma 90.00
loop_
_atom_site_label
_atom_site_type_symbol
_atom_site_fract_x
_atom_site_fract_y
_atom_site_fract_z
_atom_site_occupancy
Sb1 Sb 0.134 0.250 0.125 1
Te1 Te 0.000 0.000 0.500 1
N1 N 0.000 0.000 0.000 1
# Formation energy without anion corrections (meV per atom): 556
# Raw total energy (eV/atom): -4.37
# ΔE to the lowest computed polymorph (eV per atom): 0.000



# 2
# ErCu5, optimized geometry, DFT PBE
data_ErCu5
_chemical_formula_sum 'Er4 Cu20'
_symmetry_space_group_name_H-M 'F -4 3 m'
_symmetry_Int_Tables_number 216
_symmetry_space_group_name_Hall 'F -4 2 3'
_cell_length_a 7.016
_cell_length_b 7.016
_cell_length_c 7.016
_cell_angle_alpha 90.00
_cell_angle_beta 90.00
_cell_angle_gamma 90.00
loop_
_atom_site_label
_atom_site_type_symbol
_atom_site_fract_x
_atom_site_fract_y
_atom_site_fract_z
_atom_site_occupancy
Er1 Er 0.000 0.000 0.000 1
Cu1 Cu 0.124 0.124 0.624 1
Cu2 Cu 0.250 0.250 0.250 1
# E_form (meV per atom): -186
# Raw total energy (eV/atom): -4.36



# 3
# Pr6Tl5Pb, optimized geometry, DFT PBE
data_Pr6Tl5Pb
_chemical_formula_sum 'Pr12 Tl10 Pb2'
_symmetry_space_group_name_H-M 'C 1 2/m 1'
_symmetry_Int_Tables_number 12
_cell_length_a 9.638
_cell_length_b 16.719
_cell_length_c 5.571
_cell_angle_alpha 90.00
_cell_angle_beta 125.24
_cell_angle_gamma 90.00
loop_
_symmetry_equiv_pos_as_xyz
'x,y,z'
'-x,-y,-z'
'-x,y,-z'
'x,-y,z'
'x+1/2,y+1/2,z'
'-x+1/2,-y+1/2,-z'
'-x+1/2,y+1/2,-z'
'x+1/2,-y+1/2,z'
loop_
_atom_site_label
_atom_site_type_symbol
_atom_site_fract_x
_atom_site_fract_y
_atom_site_fract_z
_atom_site_occupancy
Pr1 Pr 0.249 0.000 0.249 1
Pr2 Pr 0.249 0.166 0.749 1
Tl1 Tl 0.000 0.171 0.000 1
Tl2 Tl 0.000 0.334 0.500 1
Tl3 Tl 0.000 0.500 0.000 1
Pb1 Pb 0.000 0.000 0.500 1
# E_form (meV per atom): -416
# Raw total energy (eV/atom): -4.10



# 4
# CaOsPt, optimized geometry, DFT PBE
data_CaOsPt
_chemical_formula_sum 'Ca2 Os2 Pt2'
_symmetry_space_group_name_H-M 'I 4 m m'
_symmetry_Int_Tables_number 107
_symmetry_space_group_name_Hall 'I 4 -2'
_cell_length_a 2.855
_cell_length_b 2.855
_cell_length_c 13.138
_cell_angle_alpha 90.00
_cell_angle_beta 90.00
_cell_angle_gamma 90.00
loop_
_atom_site_label
_atom_site_type_symbol
_atom_site_fract_x
_atom_site_fract_y
_atom_site_fract_z
_atom_site_occupancy
Ca1 Ca 0.000 0.000 0.000 1
Os1 Os 0.000 0.000 0.680 1
Pt1 Pt 0.000 0.000 0.317 1
# E_form (meV per atom): 114
# Raw total energy (eV/atom): -6.31
# ΔE to the lowest computed polymorph (eV per atom): 0.034